Material: Zr2AgBi2
Method: DFT, PBE-GGA
State: optimized geometry

Output
* polymorph energy (0 for the lowest one): 0.00 kcal/mol of atoms
* calculated total energy: -5.681 eV/atom

abc: 7.9288 7.9288 3.9866
angles: 90.00 90.00 90.00
Closest atoms and distances in Å follow each position.
Space group P4/mbm (No. 127)
Asymmetric unit:
Zr 0.1420 0.3580 0.0000  6 Bi 3.00-3.11, 2 Ag 3.05, 1 Zr 3.19
Ag 0.0000 0.0000 0.0000  4 Zr 3.05
Bi 0.1581 0.6581 0.5000  6 Zr 3.00-3.11